(1)
Compound: MoP2S2
Source: the Alexandria database
Functional: PBE
Structure: optimized geometry

```
5
Lattice="4.7682 0.0000 0.0000 0.0000 4.7682 0.0000 0.0000 0.0000 4.4598" Properties=species:S:1:pos:R:3 pbc="T T T"
Mo 0.0000 0.0000 0.0000
P 0.0000 2.3841 0.0000
P 2.3841 0.0000 0.0000
S 0.0000 0.0000 2.2299
S 2.3841 2.3841 2.2299
```

Output
**ΔE_f (raw)**: 592.0 meV/atom
**Total moment**: 0.0 μB per cell
**Mass density**: 3.6 g cm⁻³
**Uncorrected energy**: -26.9 eV per cell
**Energy above the most stable polymorph in this dataset**: 0 meV/atom

(2)
Compound: NaSr2Mg2
Source: the Alexandria database
Functional: PBE
Structure: optimized geometry

```
10
Lattice="4.3280 0.0000 0.0000 0.0000 4.3280 0.0000 0.0000 0.0000 21.6601" Properties=species:S:1:pos:R:3 pbc="T T T"
Na 0.0000 0.0000 0.0000
Na 2.1640 2.1640 10.8301
Sr 0.0000 0.0000 8.3782
Sr 0.0000 0.0000 13.2819
Sr 2.1640 2.1640 2.4518
Sr 2.1640 2.1640 19.2083
Mg 0.0000 2.1640 5.4150
Mg 0.0000 2.1640 16.2451
Mg 2.1640 0.0000 5.4150
Mg 2.1640 0.0000 16.2451
```

Output
**Total moment**: 0.0 μB per cell
**Mass density**: 2.0 g cm⁻³
**Uncorrected energy**: -14.6 eV per cell
**Energy relative to the elements**: 112.1 meV/atom
**Energy above the most stable polymorph in this dataset**: 94 meV/atom

(3)
Compound: YRu2Se
Source: the Alexandria database
Functional: PBE
Structure: optimized geometry

```
8
Lattice="3.9278 0.0000 0.0000 0.0000 3.9278 0.0000 0.0000 0.0000 8.9525" Properties=species:S:1:pos:R:3 pbc="T T T"
Y 0.0000 0.0000 0.0000
Y 1.9639 1.9639 4.4762
Ru 0.0000 0.0000 4.4762
Ru 0.0000 1.9639 6.7144
Ru 1.9639 0.0000 2.2381
Ru 1.9639 1.9639 0.0000
Se 0.0000 1.9639 2.2381
Se 1.9639 0.0000 6.7144
```

Output
**ΔE_f (raw)**: -49.5 meV/atom
**Total moment**: 0.0 μB per cell
**Mass density**: 8.9 g cm⁻³
**Uncorrected energy**: -57.4 eV per cell

(4)
Compound: UPPtRh
Source: the Alexandria database
Functional: PBE
Structure: optimized geometry

```
8
Lattice="3.9038 0.0000 0.0000 0.0000 4.1753 0.0000 0.0000 0.0000 9.3846" Properties=species:S:1:pos:R:3 pbc="T T T"
U 0.0000 0.0000 0.0000
U 1.9519 2.0877 4.6923
P 0.0000 2.0877 2.3873
P 1.9519 0.0000 7.0796
Pt 0.0000 0.0000 3.3135
Pt 1.9519 2.0877 8.0058
Rh 0.0000 0.0000 5.9826
Rh 1.9519 2.0877 1.2903
```

Output
**Total moment**: 4.6 μB per cell
**Mass density**: 12.3 g cm⁻³
**Uncorrected energy**: -65.2 eV per cell
**Energy relative to the elements**: -627.4 meV/atom

(5)
Compound: Mn2V3Ge4
Source: the Alexandria database
Functional: PBE
Structure: optimized geometry

```
9
Lattice="6.4989 -1.6914 0.0000 6.4989 1.6914 0.0000 -2.3880 0.0000 5.7474" Properties=species:S:1:pos:R:3 pbc="T T T"
Mn 1.1144 0.0000 2.7359
Mn 9.4955 0.0000 3.0115
V 2.8165 0.0000 4.9687
V 5.3050 0.0000 2.8737
V 7.7934 0.0000 0.7787
Ge -1.6596 0.0000 4.6661
Ge 3.2446 0.0000 1.1832
Ge 7.3653 0.0000 4.5642
Ge 12.2695 0.0000 1.0813
```

Output
**Total moment**: 3.2 μB per cell
**Mass density**: 7.3 g cm⁻³
**Uncorrected energy**: -65.5 eV per cell
**Energy relative to the elements**: -149.2 meV/atom

(6)
Compound: Y3Tm2Pd2
Source: the Alexandria database
Functional: PBE
Structure: optimized geometry

```
14
Lattice="12.3741 0.0000 0.0000 0.0000 3.6852 0.0000 -4.0216 0.0000 8.1517" Properties=species:S:1:pos:R:3 pbc="T T T"
Y 0.0000 0.0000 0.0000
Y -0.3756 0.0000 3.5666
Y 2.5411 1.8426 4.5851
Y 6.1870 1.8426 0.0000
Y 5.8114 1.8426 3.5666
Y 8.7281 0.0000 4.5851
Tm -1.2775 1.8426 6.6413
Tm 3.4429 0.0000 1.5104
Tm 4.9096 0.0000 6.6413
Tm 9.6299 1.8426 1.5104
Pd 1.2449 1.8426 1.9020
Pd 0.9205 0.0000 6.2497
Pd 7.4320 0.0000 1.9020
Pd 7.1075 1.8426 6.2497
```

Output
**Total moment**: 0.0 μB per cell
**Mass density**: 7.3 g cm⁻³
**Uncorrected energy**: -84.7 eV per cell
**Energy relative to the elements**: -520.2 meV/atom
**Energy above the most stable polymorph in this dataset**: 0 meV/atom